Entry from the Alexandria database: an optimized crystal structure of MgCl (GGA-PBE).

Calculated values
- Raw formation energy: -1.45 eV/f.u.
- Energy: -9.8 eV for the cell shown

Lattice parameters (Å, degrees): 3.5318 3.5318 8.1980 90.00 90.00 120.00
Last column: nearest neighbours and their distance in Å.
Atoms (fractional coordinates):
Mg (0.6667, 0.3333, 0.7500)  6 Cl 2.89
Mg (0.3333, 0.6667, 0.2500)  6 Cl 2.89
Cl (0.0000, 0.0000, 0.0000)  6 Mg 2.89
Cl (0.0000, 0.0000, 0.5000)  6 Mg 2.89

---

Entry from the Alexandria database: an optimized crystal structure of MgCl6 (GGA-PBE).

Calculated values
- Raw formation energy: -3.47 eV/f.u.
- Energy: -16.1 eV for the cell shown

Lattice parameters (Å, degrees): 9.3362 9.3362 8.4432 90.00 90.00 121.15
Last column: nearest neighbours and their distance in Å.
Atoms (fractional coordinates):
Cl (0.9137, 0.3048, 0.0000)  1 Cl 2.00
Cl (0.6952, 0.0863, 0.0000)  1 Cl 2.00
Cl (0.0000, 0.0000, 0.2598)  1 Mg 2.19
Cl (0.3048, 0.9137, 0.0000)  1 Cl 2.00
Cl (0.0000, 0.0000, 0.7402)  1 Mg 2.19
Cl (0.0863, 0.6952, 0.0000)  1 Cl 2.00
Mg (0.0000, 0.0000, 0.0000)  2 Cl 2.19

---

Entry from the Alexandria database: an optimized crystal structure of MgCl (GGA-PBE).

Calculated values
- Raw formation energy: -2.08 eV/f.u.
- Energy: -11.0 eV for the cell shown

Lattice parameters (Å, degrees): 6.3132 6.3132 6.3132 148.68 112.61 76.19
Last column: nearest neighbours and their distance in Å.
Atoms (fractional coordinates):
Mg (0.1296, 0.3796, 0.2500)  2 Cl 2.44
Mg (0.8704, 0.6204, 0.7500)  2 Cl 2.44
Cl (0.6949, 0.9449, 0.2500)  2 Mg 2.44
Cl (0.3051, 0.0551, 0.7500)  2 Mg 2.44

---

Entry from the Alexandria database: an optimized crystal structure of MgCl (GGA-PBE).

Calculated values
- Raw formation energy: -2.17 eV/f.u.
- Energy: -11.2 eV for the cell shown

Lattice parameters (Å, degrees): 3.3118 3.4086 9.1244 79.61 90.00 90.00
Last column: nearest neighbours and their distance in Å.
Atoms (fractional coordinates):
Mg (0.0000, 0.3904, 0.5185)  4 Cl 2.57-2.85
Mg (0.5000, 0.3596, 0.2315)  4 Cl 2.57-2.85
Cl (0.5000, 0.7558, 0.6632)  4 Mg 2.57-2.85
Cl (0.0000, 0.9942, 0.0868)  4 Mg 2.57-2.85

---

Entry from the Alexandria database: an optimized crystal structure of Mg3Cl (GGA-PBE).

Calculated values
- Distance to the lowest polymorph of the same formula: 129.5 meV/atom
- Raw formation energy: -1.29 eV/f.u.
- Energy: -7.9 eV for the cell shown

Lattice parameters (Å, degrees): 3.2752 5.5799 5.5125 90.00 90.00 90.00
Last column: nearest neighbours and their distance in Å.
Atoms (fractional coordinates):
Mg (0.0000, 0.5000, 0.2553)  2 Cl 2.85, 2 Mg 3.18
Mg (0.5000, 0.5000, 0.7616)  8 Mg 3.15-3.28
Mg (0.5000, 0.0000, 0.4972)  2 Cl 2.51
Cl (0.0000, 0.0000, 0.1526)  2 Mg 2.51

---

Entry from the Alexandria database: an optimized crystal structure of MgCl (GGA-PBE).

Calculated values
- Raw formation energy: -2.43 eV/f.u.
- Energy: -11.7 eV for the cell shown

Lattice parameters (Å, degrees): 3.5718 3.5758 9.5084 90.44 100.34 120.02
Last column: nearest neighbours and their distance in Å.
Atoms (fractional coordinates):
Cl (0.2036, 0.1940, 0.4381)  3 Mg 2.52
Cl (0.2416, 0.7168, 0.0222)  3 Mg 2.51
Mg (0.6369, 0.9121, 0.5940)  3 Cl 2.52
Mg (0.4746, 0.3292, 0.8681)  3 Cl 2.51

---

Entry from the Alexandria database: an optimized crystal structure of Mg2Cl (GGA-PBE).

Calculated values
- Distance to the lowest polymorph of the same formula: 0.0 meV/atom
- Raw formation energy: -1.99 eV/f.u.
- Energy: -14.0 eV for the cell shown

Lattice parameters (Å, degrees): 5.9577 5.9577 7.6295 73.34 73.34 33.06
Last column: nearest neighbours and their distance in Å.
Atoms (fractional coordinates):
Mg (0.1180, 0.1180, 0.5669)  1 Cl 2.85, 1 Mg 3.16
Mg (0.3780, 0.3780, 0.7942)  3 Cl 2.52-2.68
Mg (0.8820, 0.8820, 0.4331)  1 Cl 2.85, 1 Mg 3.16
Mg (0.6220, 0.6220, 0.2058)  3 Cl 2.52-2.68
Cl (0.8524, 0.8524, 0.0755)  3 Mg 2.52-2.68
Cl (0.1476, 0.1476, 0.9245)  3 Mg 2.52-2.68

---

Entry from the Alexandria database: an optimized crystal structure of MgCl (GGA-PBE).

Calculated values
- Raw formation energy: -2.14 eV/f.u.
- Energy: -33.5 eV for the cell shown

Lattice parameters (Å, degrees): 3.5585 8.7319 9.1404 90.00 90.00 90.00
Last column: nearest neighbours and their distance in Å.
Atoms (fractional coordinates):
Cl (0.0000, 0.7007, 0.9140)  3 Mg 2.54-2.68
Cl (0.5000, 0.5000, 0.2628)  4 Mg 2.66-2.79
Cl (0.0000, 0.2007, 0.4140)  3 Mg 2.54-2.68
Cl (0.5000, 0.0000, 0.7628)  4 Mg 2.66-2.79
Cl (0.0000, 0.2993, 0.9140)  3 Mg 2.54-2.68
Cl (0.0000, 0.7993, 0.4140)  3 Mg 2.54-2.68
Mg (0.5000, 0.8152, 0.2162)  3 Cl 2.54-2.79
Mg (0.5000, 0.1848, 0.2162)  3 Cl 2.54-2.79
Mg (0.5000, 0.6848, 0.7162)  3 Cl 2.54-2.79
Mg (0.0000, 0.5000, 0.4787)  4 Cl 2.66-2.68
Mg (0.5000, 0.3152, 0.7162)  3 Cl 2.54-2.79
Mg (0.0000, 0.0000, 0.9787)  4 Cl 2.66-2.68

---

Entry from the Alexandria database: an optimized crystal structure of MgCl3 (GGA-PBE).

Calculated values
- Raw formation energy: -4.17 eV/f.u.
- Energy: -22.6 eV for the cell shown

Lattice parameters (Å, degrees): 8.6150 8.6150 3.4697 90.00 90.00 120.00
Last column: nearest neighbours and their distance in Å.
Atoms (fractional coordinates):
Cl (0.7906, 0.5811, 0.2500)  2 Mg 2.54
Cl (0.7906, 0.2094, 0.2500)  2 Mg 2.54
Cl (0.4189, 0.2094, 0.2500)  2 Mg 2.54
Cl (0.5811, 0.7906, 0.7500)  2 Mg 2.54
Cl (0.2094, 0.4189, 0.7500)  2 Mg 2.54
Cl (0.2094, 0.7906, 0.7500)  2 Mg 2.54
Mg (0.6667, 0.3333, 0.7500)  6 Cl 2.54
Mg (0.3333, 0.6667, 0.2500)  6 Cl 2.54

---

Entry from the Alexandria database: an optimized crystal structure of MgCl5 (GGA-PBE).

Calculated values
- Distance to the lowest polymorph of the same formula: 19.2 meV/atom
- Raw formation energy: -4.35 eV/f.u.
- Energy: -15.2 eV for the cell shown

Lattice parameters (Å, degrees): 3.2712 7.7921 7.9760 72.35 101.83 90.00
Last column: nearest neighbours and their distance in Å.
Atoms (fractional coordinates):
Mg (0.2214, 0.9155, 0.4428)  5 Cl 2.43-2.44
Cl (0.6865, 0.1597, 0.3730)  2 Mg 2.44
Cl (0.9348, 0.1524, 0.8695)  1 Cl 1.98
Cl (0.6774, 0.7264, 0.3547)  2 Mg 2.44
Cl (0.3850, 0.8025, 0.7699)  1 Mg 2.43
Cl (0.9284, 0.4102, 0.8568)  1 Cl 1.98

---

Entry from the Alexandria database: an optimized crystal structure of Mg2Cl (GGA-PBE).

Calculated values
- Distance to the lowest polymorph of the same formula: 144.7 meV/atom
- Raw formation energy: -1.55 eV/f.u.
- Energy: -6.6 eV for the cell shown

Lattice parameters (Å, degrees): 6.3521 6.3521 6.3521 149.28 149.28 44.00
Last column: nearest neighbours and their distance in Å.
Atoms (fractional coordinates):
Mg (0.6683, 0.6683, 0.0000)  8 Mg 3.06-3.37, 4 Cl 3.10
Mg (0.3317, 0.3317, 0.0000)  8 Mg 3.06-3.37, 4 Cl 3.10
Cl (0.0000, 0.0000, 0.0000)  8 Mg 3.10, 4 Cl 3.37

---

Entry from the Alexandria database: an optimized crystal structure of MgCl (GGA-PBE).

Calculated values
- Raw formation energy: -2.13 eV/f.u.
- Energy: -16.7 eV for the cell shown

Lattice parameters (Å, degrees): 7.1613 7.1613 12.2479 42.14 42.14 27.90
Last column: nearest neighbours and their distance in Å.
Atoms (fractional coordinates):
Cl (0.2499, 0.2499, 0.9290)  3 Mg 2.49-2.56
Cl (0.4811, 0.4811, 0.3481)  3 Mg 2.57-2.62
Cl (0.0524, 0.0524, 0.7828)  3 Mg 2.52-2.58
Mg (0.0841, 0.0841, 0.3953)  2 Cl 2.57
Mg (0.5313, 0.5313, 0.6520)  3 Cl 2.52-2.56
Mg (0.7679, 0.7679, 0.0596)  4 Cl 2.49-2.62